No. 1
Material: SrGaRe
Method: DFT, PBE
State: relaxed

```
SrGaRe
1.0
0.000 3.531 3.531
3.531 0.000 3.531
3.531 3.531 0.000
Sr Ga Re
1 1 1
Cartesian
0.000 0.000 0.000
5.296 5.296 5.296
1.765 1.765 1.765
```

Output
Its calculated volume is 29.346 Å³ per atom.

No. 2
Material: SrGaRe
Method: DFT, PBE
State: relaxed

```
SrGaRe
1.0
0.000 3.302 3.302
3.302 0.000 3.302
3.302 3.302 0.000
Sr Ga Re
1 1 1
Cartesian
0.000 0.000 0.000
4.953 4.953 4.953
3.302 3.302 3.302
```

Output
Its calculated volume is 24.001 Å³ per atom.

No. 3
Material: Ta2GaRe
Method: DFT, PBE
State: relaxed

```
Ta2GaRe
1.0
0.000 3.202 3.202
3.202 0.000 3.202
3.202 3.202 0.000
Ta Ga Re
2 1 1
Cartesian
0.000 0.000 0.000
1.601 1.601 1.601
3.202 3.202 3.202
4.804 4.804 4.804
```

Output
Its calculated volume is 16.420 Å³ per atom.

No. 4
Material: Ga2ReTc
Method: DFT, PBE
State: relaxed

```
Ga2ReTc
1.0
0.000 3.092 3.092
3.092 0.000 3.092
3.092 3.092 0.000
Ga Re Tc
2 1 1
Cartesian
0.000 0.000 0.000
1.546 1.546 1.546
4.639 4.639 4.639
3.092 3.092 3.092
```

Output
Its calculated volume is 14.787 Å³ per atom.

No. 5
Material: GaReTc
Method: DFT, PBE
State: relaxed

```
GaReTc
1.0
0.000 2.952 2.952
2.952 0.000 2.952
2.952 2.952 0.000
Ga Re Tc
1 1 1
Cartesian
0.000 0.000 0.000
2.952 2.952 2.952
1.476 1.476 1.476
```

Output
Its calculated volume is 17.146 Å³ per atom.

No. 6
Material: Ga2ReTe4
Method: DFT, PBE
State: relaxed

```
Ga2ReTe4
1.0
-3.042 3.042 6.155
3.042 -3.042 6.155
3.042 3.042 -6.155
Ga Re Te
2 1 4
Cartesian
0.000 0.000 0.000
0.000 3.042 3.077
0.000 0.000 6.155
1.474 1.791 -1.576
4.293 1.474 1.576
1.568 1.251 4.578
-1.251 1.568 7.731
```

Output
Its calculated volume is 32.548 Å³ per atom.

no.,VASP energy (eV/atom)
1,-3.96
2,-4.72
3,-9.73
4,-7.00
5,-8.31
6,-4.32